A geometry-optimized K3TbBr6 structure. Source: the Open Quantum Materials Database, functional PBE. Values from VASP.

## Properties
Space group ... P2_1/c
V ... 752 Å³/cell
Total magnetic moment ... 0.0001 μB per atom
Electronic total energy ... -3.6257 eV/atom

Structure (Quantum ESPRESSO input):
```
&SYSTEM
  ibrav = 0, nat = 20, ntyp = 3
/
ATOMIC_SPECIES
K 39.10 K.upf
Tb 158.93 Tb.upf
Br 79.90 Br.upf
ATOMIC_POSITIONS crystal
K 0.000 0.000 0.000
K 0.000 0.500 0.500
K 0.209 0.079 0.741
K 0.209 0.421 0.241
K 0.791 0.579 0.759
K 0.791 0.921 0.259
Tb 0.500 0.000 0.500
Tb 0.500 0.500 0.000
Br 0.155 0.179 0.442
Br 0.155 0.321 0.942
Br 0.256 0.722 0.422
Br 0.256 0.778 0.922
Br 0.405 0.057 0.271
Br 0.405 0.443 0.771
Br 0.595 0.557 0.229
Br 0.595 0.943 0.729
Br 0.744 0.222 0.078
Br 0.744 0.278 0.578
Br 0.845 0.679 0.058
Br 0.845 0.821 0.558
CELL_PARAMETERS angstrom
7.893 0.000 0.000
0.000 8.424 0.000
-7.603 0.000 11.316
```